{"formula": "LiPu2BeO8", "functional": "PBE", "state": "optimized geometry", "formation_energy_uncorrected_ev_per_atom": -2.25, "n_ef_per_ev_atom": 0.499, "energy_ev_per_atom": -8.409, "cell": [[-0.236, 3.806, 2.371], [-4.405, -0.133, -0.863], [-1.026, -3.680, 5.806]], "species": ["O", "O", "O", "O", "O", "Li", "O", "O", "Be", "Pu", "O", "Pu"], "fractional_positions": [[0.782, 0.218, 0.243], [0.303, 0.302, 0.500], [0.697, 0.698, 0.500], [0.218, 0.782, 0.243], [0.265, 0.265, 0.000], [0.000, 0.000, 0.500], [0.782, 0.218, 0.757], [0.218, 0.782, 0.757], [0.000, 0.000, 0.000], [0.500, 0.500, 0.250], [0.735, 0.735, 0.000], [0.500, 0.500, 0.750]]}